This record from Alexandria via LeMat-Bulk describes crystalline NpMn2Tl3O9 at its relaxed geometry. The functional is GGA+U.

Lattice parameters (Å, degrees): 5.7495 5.7495 7.1384 90.00 90.00 120.00
Last column: nearest neighbours and their distance in Å.
Fractional coordinates of all 15 atoms:
Np (0.0000, 0.0000, 0.0000)  6 O 2.04
Mn (0.3333, 0.6667, 0.6581)  6 O 2.01-2.08
Mn (0.6667, 0.3333, 0.3419)  6 O 2.01-2.08
Tl (0.0000, 0.0000, 0.5000)  12 O 2.87-2.90
Tl (0.3333, 0.6667, 0.2080)  9 O 2.66-2.89
Tl (0.6667, 0.3333, 0.7920)  9 O 2.66-2.89
O (0.0000, 0.5000, 0.5000)  2 Mn 2.01
O (0.1659, 0.3318, 0.8334)  1 Np 2.04, 1 Mn 2.08
O (0.1659, 0.8341, 0.8334)  1 Np 2.04, 1 Mn 2.08
O (0.3318, 0.1659, 0.1666)  1 Np 2.04, 1 Mn 2.08
O (0.5000, 0.0000, 0.5000)  2 Mn 2.01
O (0.5000, 0.5000, 0.5000)  2 Mn 2.01
O (0.6682, 0.8341, 0.8334)  1 Np 2.04, 1 Mn 2.08
O (0.8341, 0.1659, 0.1666)  1 Np 2.04, 1 Mn 2.08
O (0.8341, 0.6682, 0.1666)  1 Np 2.04, 1 Mn 2.08

Computed properties:
The value obtained for the energy is -100.90 eV per formula unit. Its density of states at the Fermi level is 5.0 states/eV/cell.